PmPbNO | PBE-GGA | optimized geometry

The raw total energy is -107.1 eV per cell.

The structure belongs to space group Pca2_1 (No. 29); the cell edges are 6.793, 9.335 and 5.141 Å and the angles 90.00°, 90.00° and 90.00°. The inequivalent atoms are Pm at (0.067, 0.115, 0.000), Pb at (0.056, 0.648, 0.990), N at (0.081, 0.114, 0.504) and O at (0.115, 0.687, 0.535).

PmPbNO | PBE-GGA | optimized geometry

The raw total energy is -109.7 eV per cell.

The structure belongs to space group Pca2_1 (No. 29); the cell edges are 5.883, 8.558 and 5.818 Å and the angles 90.00°, 90.00° and 90.00°. The inequivalent atoms are Pm at (0.004, 0.125, 0.000), Pb at (0.022, 0.627, 0.002), N at (0.090, 0.615, 0.601) and O at (0.247, 0.996, 0.247).

PmPbNO | PBE-GGA | optimized geometry

The raw total energy is -50.7 eV per cell.

The structure belongs to space group P4/nmm (No. 129, origin choice 2); the cell edges are 4.358, 4.358 and 7.864 Å and the angles 90.00°, 90.00° and 90.00°. The inequivalent atoms are Pm at (0.250, 0.250, 0.120), Pb at (0.250, 0.750, 0.500), N at (0.250, 0.250, 0.665) and O at (0.250, 0.750, 0.000).